The following is a DFT calculation (SCAN) of a crystal of RbNdP4O12 relaxed with PBEsol.

Cell lengths 10.5014, 9.0847, 12.9187 Å; angles 90.00, 125.16, 90.00 degrees
Fractional coordinates of all 72 atoms:
Rb  0.2443  0.0712  0.0426
Rb  0.2443  0.4288  0.5426
Rb  0.7557  0.5712  0.4574
Rb  0.7557  0.9288  0.9574
Nd  0.3147  0.7270  0.8150
Nd  0.3147  0.7730  0.3150
Nd  0.6853  0.2270  0.6850
Nd  0.6853  0.2730  0.1850
P  0.0239  0.0262  0.2738
P  0.0239  0.4738  0.7738
P  0.1980  0.6026  0.0209
P  0.1980  0.8974  0.5209
P  0.3209  0.1719  0.3598
P  0.3209  0.3281  0.8598
P  0.3858  0.0951  0.7405
P  0.3858  0.4049  0.2405
P  0.6142  0.5951  0.7595
P  0.6142  0.9049  0.2595
P  0.6791  0.6719  0.1402
P  0.6791  0.8281  0.6402
P  0.8020  0.1026  0.4791
P  0.8020  0.3974  0.9791
P  0.9761  0.5262  0.2262
P  0.9761  0.9738  0.7262
O  0.0384  0.5423  0.8957
O  0.0384  0.9577  0.3957
O  0.0668  0.5851  0.7127
O  0.0668  0.9149  0.2127
O  0.1342  0.5942  0.3077
O  0.1342  0.9058  0.8077
O  0.1525  0.1562  0.3359
O  0.1525  0.3438  0.8359
O  0.1612  0.7050  0.0911
O  0.1612  0.7950  0.5911
O  0.2633  0.0525  0.5947
O  0.2633  0.4475  0.0947
O  0.2745  0.2072  0.7516
O  0.2745  0.2928  0.2516
O  0.3010  0.6550  0.9836
O  0.3010  0.8450  0.4836
O  0.3640  0.0336  0.3239
O  0.3640  0.4664  0.8239
O  0.4245  0.5360  0.3240
O  0.4245  0.9640  0.8240
O  0.4254  0.2399  0.4879
O  0.4254  0.2601  0.9879
O  0.4830  0.6804  0.7446
O  0.4830  0.8196  0.2446
O  0.5170  0.1804  0.7554
O  0.5170  0.3196  0.2554
O  0.5746  0.7399  0.0121
O  0.5746  0.7601  0.5121
O  0.5755  0.0360  0.1760
O  0.5755  0.4640  0.6760
O  0.6360  0.5336  0.1761
O  0.6360  0.9664  0.6761
O  0.6990  0.1550  0.5164
O  0.6990  0.3450  0.0164
O  0.7255  0.7072  0.7484
O  0.7255  0.7928  0.2484
O  0.7367  0.5525  0.9053
O  0.7367  0.9475  0.4053
O  0.8388  0.2050  0.4089
O  0.8388  0.2950  0.9089
O  0.8475  0.6562  0.1641
O  0.8475  0.8438  0.6641
O  0.8658  0.0942  0.1923
O  0.8658  0.4058  0.6923
O  0.9332  0.0851  0.7873
O  0.9332  0.4149  0.2873
O  0.9616  0.0423  0.6043
O  0.9616  0.4577  0.1043

Properties
Relative energy among the computed polymorphs: 0 meV per atom
Magnetization: 0.0 μB per cell
Calculated density: 3597 kg/m3
Formation energy from raw total energies: -2.731 eV/atom
Space group: P2_1/c, No. 14

The following is a DFT calculation (SCAN) of a crystal of ScTiTe2I relaxed with PBEsol.

Cell lengths 5.9448, 5.9448, 5.0831 Å; angles 90.00, 90.00, 90.00 degrees
Fractional coordinates of all 5 atoms:
Sc  0.0000  0.0000  0.0000
Ti  0.5000  0.5000  0.0000
Te  0.0000  0.5000  0.5000
Te  0.5000  0.0000  0.5000
I  0.0000  0.0000  0.5000

Properties
Magnetization: 3.8 μB per cell
Calculated density: 4390 kg/m3
Formation energy from raw total energies: 0.851 eV/atom
Space group: P4/mmm, No. 123

The following is a DFT calculation (SCAN) of a crystal of NiHgAu relaxed with PBEsol.

Cell lengths 4.3744, 4.3744, 2.8780 Å; angles 90.00, 90.00, 120.00 degrees
Fractional coordinates of all 3 atoms:
Ni  0.0000  0.0000  0.0000
Hg  0.3333  0.6667  0.7058
Au  0.6667  0.3333  0.2840

Properties
Relative energy among the computed polymorphs: 100 meV per atom
Energy of formation: 258 meV/atom
Magnetization: 0.0 μB per cell
Calculated density: 15885 kg/m3
Space group: P3m1, No. 156

The following is a DFT calculation (SCAN) of a crystal of K4CoRh relaxed with PBEsol.

Cell lengths 6.2977, 6.2977, 6.2977 Å; angles 60.00, 60.00, 60.00 degrees
Fractional coordinates of all 6 atoms:
K  0.1252  0.1252  0.1252
K  0.1252  0.1252  0.6244
K  0.1252  0.6244  0.1252
K  0.6244  0.1252  0.1252
Co  0.7500  0.7500  0.7500
Rh  0.5000  0.5000  0.5000

Properties
Energy of formation: 1150 meV/atom
Magnetization: 2.0 μB per cell
Calculated density: 2992 kg/m3
Space group: F-43m, No. 216